Density functional theory data (PBE) for crystalline BeNiRu at its relaxed geometry.

**N(E_F)**: 0.905 states/eV per cell
**Calculated total energy**: -17.122 eV/cell
**Volume**: 13.71 A^3/atom
**Energy relative to the elements**: 1.66 eV/f.u.
**Space group**: F-43m, No. 216

Cell lengths 3.875, 3.875, 3.875 Å; angles 60.00, 60.00, 60.00 degrees
Atoms (fractional coordinates):
Be: 0.000 0.000 0.000
Ni: 0.500 0.500 0.500
Ru: 0.750 0.750 0.750


Density functional theory data (PBE) for crystalline ZrSnIr2 at its relaxed geometry.

**N(E_F)**: 3.776 states/eV per cell
**Calculated total energy**: -58.417 eV/cell
**Volume**: 26.55 A^3/atom
**Energy relative to the elements**: 1.06 eV/f.u.
**Space group**: I-42d, No. 122

Cell lengths 7.472, 7.472, 7.472 Å; angles 133.99, 133.99, 67.10 degrees
Atoms (fractional coordinates):
Zr: 0.000 0.000 0.000
Zr: 0.750 0.250 0.500
Sn: 0.250 0.750 0.500
Sn: 0.500 0.500 0.000
Ir: 0.124 0.625 0.999
Ir: 0.375 0.374 0.499
Ir: 0.626 0.125 0.001
Ir: 0.875 0.876 0.501


Density functional theory data (PBE) for crystalline Tb3HoTm7 at its relaxed geometry.

**N(E_F)**: 17.147 states/eV per cell
**Polymorph energy (0 for the lowest one)**: 0.34 eV/f.u.
**Calculated total energy**: -47.648 eV/cell
**Volume**: 32.31 A^3/atom
**Energy relative to the elements**: 2.12 eV/f.u.
**Space group**: P3m1, No. 156

Cell lengths 6.950, 6.950, 8.496 Å; angles 90.00, 90.00, 120.00 degrees
Atoms (fractional coordinates):
Tb: 0.000 0.500 0.000
Tb: 0.500 0.000 0.000
Tb: 0.500 0.500 0.000
Ho: 0.333 0.667 0.337
Tm: 0.168 0.335 0.664
Tm: 0.168 0.832 0.664
Tm: 0.335 0.168 0.337
Tm: 0.665 0.832 0.664
Tm: 0.667 0.333 0.664
Tm: 0.832 0.168 0.337
Tm: 0.832 0.665 0.337


Density functional theory data (PBE) for crystalline CsLi2Hg at its relaxed geometry.

**N(E_F)**: 3.498 states/eV per cell
**Calculated total energy**: -5.435 eV/cell
**Volume**: 36.07 A^3/atom
**Energy relative to the elements**: -0.45 eV/f.u.
**Space group**: R-3m, No. 166

Cell lengths 7.420, 7.420, 7.420 Å; angles 38.82, 38.82, 38.82 degrees
Atoms (fractional coordinates):
Cs: 0.000 0.000 0.000
Li: 0.183 0.183 0.183
Li: 0.817 0.817 0.817
Hg: 0.500 0.500 0.500


Density functional theory data (PBE) for crystalline Li2CaRu at its relaxed geometry.

**N(E_F)**: 2.430 states/eV per cell
**Polymorph energy (0 for the lowest one)**: 0.68 eV/f.u.
**Calculated total energy**: -13.384 eV/cell
**Volume**: 18.14 A^3/atom
**Energy relative to the elements**: 1.72 eV/f.u.
**Space group**: Cmmm, No. 65

Cell lengths 5.349, 5.349, 2.856 Å; angles 90.00, 90.00, 117.39 degrees
Atoms (fractional coordinates):
Li: 0.000 0.500 0.000
Li: 0.500 0.000 0.000
Ca: 0.000 0.000 0.500
Ru: 0.500 0.500 0.500


Density functional theory data (PBE) for crystalline LiTbLuRh at its relaxed geometry.

**N(E_F)**: 2.590 states/eV per cell
**Calculated total energy**: -20.468 eV/cell
**Volume**: 20.66 A^3/atom
**Energy relative to the elements**: -2.05 eV/f.u.
**Space group**: F-43m, No. 216

Cell lengths 4.889, 4.889, 4.889 Å; angles 60.00, 60.00, 60.00 degrees
Atoms (fractional coordinates):
Li: 0.000 0.000 0.000
Tb: 0.750 0.750 0.750
Lu: 0.250 0.250 0.250
Rh: 0.500 0.500 0.500


Density functional theory data (PBE) for crystalline LaNd4Ga2 at its relaxed geometry.

**N(E_F)**: 12.429 states/eV per cell
**Calculated total energy**: -30.816 eV/cell
**Volume**: 32.91 A^3/atom
**Energy relative to the elements**: -0.76 eV/f.u.
**Space group**: R-3m, No. 166

Cell lengths 10.880, 10.880, 10.880 Å; angles 26.77, 26.77, 26.77 degrees
Atoms (fractional coordinates):
La: 0.000 0.000 0.000
Nd: 0.202 0.202 0.202
Nd: 0.395 0.395 0.395
Nd: 0.605 0.605 0.605
Nd: 0.798 0.798 0.798
Ga: 0.100 0.100 0.100
Ga: 0.900 0.900 0.900


Density functional theory data (PBE) for crystalline PdPt2Rh6 at its relaxed geometry.

**N(E_F)**: 16.027 states/eV per cell
**Polymorph energy (0 for the lowest one)**: 1.33 eV/f.u.
**Calculated total energy**: -60.038 eV/cell
**Volume**: 15.05 A^3/atom
**Energy relative to the elements**: 1.34 eV/f.u.
**Space group**: Immm, No. 71

Cell lengths 7.796, 7.796, 7.796 Å; angles 159.87, 123.48, 60.62 degrees
Atoms (fractional coordinates):
Pd: 0.000 0.000 0.000
Pt: 0.350 0.850 0.500
Pt: 0.650 0.150 0.500
Rh: 0.000 0.326 0.674
Rh: 0.000 0.674 0.326
Rh: 0.321 0.500 0.821
Rh: 0.348 0.674 0.674
Rh: 0.652 0.326 0.326
Rh: 0.679 0.500 0.179